LaCr3Ga, optimized geometry, DFT PBE; mass density = 6.290 g/cm3; volume = 96.3 Å³/f.u.; formation energy = 583 kJ/mol of formula units; energy = -0.2263 Ha/atom
1.0
4.583 0.000 0.000
0.000 4.583 0.000
0.000 0.000 4.583
La Cr Ga
1 3 1
Cartesian
0.000 0.000 0.000
0.000 2.292 2.292
2.292 0.000 2.292
2.292 2.292 0.000
2.292 2.292 2.292

BaNaN2F, optimized geometry, DFT PBE; mass density = 2.907 g/cm3; volume = 118.4 Å³/f.u.; energy = -0.1482 Ha/atom; formation energy without anion corrections = 1.6 eV per formula unit
1.0
4.820 0.000 0.000
0.000 4.820 0.000
0.000 0.000 5.099
Ba Na N F
1 1 2 1
Cartesian
0.000 0.000 0.000
2.410 2.410 2.549
0.000 2.410 0.000
2.410 0.000 0.000
0.000 0.000 2.549

Sc2Nb2Cd, optimized geometry, DFT PBE; mass density = 6.016 g/cm3; volume = 107.1 Å³/f.u.; formation energy = 96 kJ/mol of formula units; energy = -0.2405 Ha/atom
1.0
7.566 0.000 0.000
0.000 7.566 0.000
0.000 0.000 3.743
Sc Nb Cd
4 4 2
Cartesian
1.299 2.484 0.000
2.484 6.267 0.000
5.082 1.299 0.000
6.267 5.082 0.000
0.924 4.707 1.871
2.859 0.924 1.871
4.707 6.642 1.871
6.642 2.859 1.871
0.000 0.000 1.871
3.783 3.783 1.871